(1)
The following is a meta-GGA SCAN calculation of a crystal of Mn3As relaxed with PBEsol, from Alexandria.

Cell: 3.967 3.967 2.888 Å, 90.00 90.00 90.00°
Positions (direct):
Mn: 0.000 0.000 0.000
Mn: 0.000 0.500 0.500
Mn: 0.500 0.000 0.500
As: 0.500 0.500 0.000

Results
energy of formation: -117 meV/atom
SG: No. 123

(2)
The following is a meta-GGA SCAN calculation of a crystal of NaB3Cl relaxed with PBEsol, from Alexandria.

Cell: 4.648 4.648 4.648 Å, 90.00 90.00 90.00°
Positions (direct):
Na: 0.000 0.000 0.000
B: 0.000 0.000 0.500
B: 0.000 0.500 0.000
B: 0.500 0.000 0.000
Cl: 0.500 0.500 0.500

Results
ΔE_f (raw): 2.7645 eV per atom
SG: No. 221

(3)
The following is a meta-GGA SCAN calculation of a crystal of MnZn3In relaxed with PBEsol, from Alexandria.

Cell: 4.668 4.668 4.668 Å, 90.00 90.00 90.00°
Positions (direct):
Mn: 0.000 0.000 0.000
Zn: 0.000 0.000 0.500
Zn: 0.000 0.500 0.000
Zn: 0.500 0.000 0.000
In: 0.500 0.500 0.500

Results
energy of formation: 518 meV/atom
SG: No. 221

(4)
The following is a meta-GGA SCAN calculation of a crystal of Mg3CuO4 relaxed with PBEsol, from Alexandria.

Cell: 4.200 4.200 4.200 Å, 90.00 90.00 90.00°
Positions (direct):
Mg: 0.000 0.000 0.500
Mg: 0.000 0.500 0.000
Mg: 0.500 0.000 0.000
Cu: 0.500 0.500 0.500
O: 0.000 0.000 0.000
O: 0.000 0.500 0.500
O: 0.500 0.000 0.500
O: 0.500 0.500 0.000

Results
ΔE_f (raw): -2.4274 eV per atom
SG: No. 221

(5)
The following is a meta-GGA SCAN calculation of a crystal of CuRhCl2 relaxed with PBEsol, from Alexandria.

Cell: 4.395 4.395 4.395 Å, 60.00 60.00 60.00°
Positions (direct):
Cu: 0.000 0.000 0.000
Rh: 0.500 0.500 0.500
Cl: 0.250 0.250 0.250
Cl: 0.750 0.750 0.750

Results
ΔE_f (raw): 0.2821 eV per atom
energy above the lowest structure with this stoichiometry: 571 meV/atom
SG: No. 225

(6)
The following is a meta-GGA SCAN calculation of a crystal of ZrAl4Si relaxed with PBEsol, from Alexandria.

Cell: 4.553 4.553 5.578 Å, 90.00 90.00 120.00°
Positions (direct):
Zr: 0.000 0.000 0.000
Al: 0.333 0.667 0.266
Al: 0.333 0.667 0.734
Al: 0.667 0.333 0.266
Al: 0.667 0.333 0.734
Si: 0.000 0.000 0.500

Results
ΔE_f (raw): -0.1051 eV per atom
SG: No. 191

(7)
The following is a meta-GGA SCAN calculation of a crystal of TaHgOs2 relaxed with PBEsol, from Alexandria.

Cell: 4.788 4.788 4.788 Å, 129.52 129.52 74.17°
Positions (direct):
Ta: 0.000 0.000 0.000
Hg: 0.500 0.500 0.000
Os: 0.250 0.750 0.500
Os: 0.750 0.250 0.500

Results
energy of formation: 343 meV/atom
SG: No. 139

(8)
The following is a meta-GGA SCAN calculation of a crystal of LaAs2HBr relaxed with PBEsol, from Alexandria.

Cell: 4.142 4.142 5.523 Å, 90.00 90.00 90.00°
Positions (direct):
La: 0.000 0.000 0.000
As: 0.000 0.500 0.500
As: 0.500 0.000 0.500
H: 0.500 0.500 0.500
Br: 0.500 0.500 0.000

Results
total DFT energy (no corrections): -109.497 eV for the cell shown
SG: No. 123

| no. | DOS at the Fermi energy (states/eV/f.u.) |
| --- | --- |
| 1 | 2.30 |
| 2 | 3.09 |
| 3 | 4.10 |
| 4 | 1.40 |
| 5 | 1.39 |
| 6 | 2.11 |
| 7 | 3.36 |
| 8 | 1.28 |